[1]
Density functional theory data (GGA-PBE) for a relaxed structure of AgSe.

Computed properties:
* space group: Fddd, No. 70
* uncorrected formation energy: 0.1 eV per formula unit
* total moment: 0.0 μB/cell
* volume: 48.6 Å³/f.u.

```
AgSe
1.0
-3.190 -4.121 -3.210
9.597 -0.181 -9.303
4.387 -7.028 4.662
Se Ag
16 16
direct
0.203 0.000 0.000 Se
0.453 0.750 0.250 Se
0.297 0.500 0.000 Se
0.547 0.250 0.250 Se
0.703 0.000 0.500 Se
0.297 0.000 0.500 Se
0.547 0.750 0.750 Se
0.203 0.500 0.500 Se
0.047 0.750 0.250 Se
0.703 0.500 0.000 Se
0.953 0.750 0.750 Se
0.047 0.250 0.750 Se
0.453 0.250 0.750 Se
0.797 0.500 0.500 Se
0.797 0.000 0.000 Se
0.953 0.250 0.250 Se
0.250 0.910 0.750 Ag
0.250 0.590 0.750 Ag
0.250 0.090 0.250 Ag
0.750 0.410 0.750 Ag
0.000 0.340 0.000 Ag
0.000 0.660 0.000 Ag
0.000 0.840 0.500 Ag
0.500 0.660 0.500 Ag
0.750 0.590 0.250 Ag
0.500 0.160 0.000 Ag
0.000 0.160 0.500 Ag
0.250 0.410 0.250 Ag
0.500 0.840 0.000 Ag
0.750 0.090 0.750 Ag
0.750 0.910 0.250 Ag
0.500 0.340 0.500 Ag
```

=====

[2]
Density functional theory data (GGA-PBE) for a relaxed structure of PaTiCd.

Computed properties:
* calculated formation energy: 0.097 eV per atom
* space group: P3m1, No. 156
* total moment: 0.0 μB/cell
* volume: 64.6 Å³/f.u.

```
PaTiCd
1.0
3.045 0.000 0.000
-1.523 2.637 0.000
0.000 0.000 8.049
Cd Pa Ti
1 1 1
direct
0.000 0.000 0.018 Cd
0.333 0.667 0.652 Pa
0.667 0.333 0.330 Ti
```

=====

[3]
Density functional theory data (GGA-PBE) for a relaxed structure of NdEr5Th4.

Computed properties:
* calculated formation energy: 0.056 eV per atom
* space group: P1, No. 1
* total moment: 0.0 μB/cell
* volume: 321.3 Å³/f.u.

```
NdEr5Th4
1.0
5.986 0.163 3.210
3.463 8.752 1.145
0.890 -0.489 6.718
Th Er Nd
4 5 1
direct
0.931 0.652 0.873 Th
0.770 0.156 0.534 Th
0.161 0.348 0.131 Th
0.334 0.845 0.461 Th
0.565 0.548 0.732 Er
0.532 0.454 0.267 Er
0.964 0.748 0.338 Er
0.366 0.950 0.932 Er
0.134 0.252 0.666 Er
0.733 0.047 0.065 Nd
```